# KHgBr2Cl | Alexandria | GGA-PBE | optimized geometry
data_KHgBr2Cl
_chemical_formula_sum 'K1 Hg1 Br2 Cl1'
_space_group_name_H-M_alt 'P 4/m m m'
_space_group_IT_number 123
_space_group_name_Hall '-P 4 2'
_cell_length_a 5.6169
_cell_length_b 5.6169
_cell_length_c 5.3464
_cell_angle_alpha 90.00
_cell_angle_beta 90.00
_cell_angle_gamma 90.00
loop_
_atom_site_label
_atom_site_type_symbol
_atom_site_fract_x
_atom_site_fract_y
_atom_site_fract_z
_atom_site_occupancy
K1 K 0.0000 0.0000 0.0000 1
Hg1 Hg 0.5000 0.5000 0.5000 1
Br1 Br 0.0000 0.5000 0.5000 1
Cl1 Cl 0.5000 0.5000 0.0000 1
# Uncorrected formation energy ... -0.9528 eV per atom
# Calculated total energy ... -11.36 eV for the cell shown
# Mass density ... 4.28 g/cm3